Computed, not measured: MnWAu3 after structural relaxation at the PBE level of DFT.

CIF file:
```
data_MnWAu3
_chemical_formula_sum 'Mn1 W1 Au3'
_cell_length_a 5.0430
_cell_length_b 5.0430
_cell_length_c 5.0430
_cell_angle_alpha 90.00
_cell_angle_beta 90.00
_cell_angle_gamma 90.00
_symmetry_space_group_name_H-M 'P m -3 m'
_symmetry_Int_Tables_number 221
_symmetry_space_group_name_Hall '-P 4 2 3'
loop_
_atom_site_label
_atom_site_type_symbol
_atom_site_fract_x
_atom_site_fract_y
_atom_site_fract_z
_atom_site_occupancy
Mn1 Mn 0.0000 0.0000 0.0000 1
W1 W 0.5000 0.5000 0.5000 1
Au1 Au 0.0000 0.5000 0.5000 1
```

Summary:
**Energy of formation from the pure elements**: 6.7 eV/f.u.
**Energy relative to the lowest polymorph listed for this composition**: 0.0 kJ per mole of atoms
**Calculated density**: 10.742 g/cm3